Entry from Alexandria: an optimized crystal structure of IrS3N (PBE-GGA).

Symmetry: Pm-3m
Distance to the lowest polymorph of the same formula, meV/atom: 0

Geometry as extended XYZ:
```
5
Lattice="4.027 0.000 0.000 0.000 4.027 0.000 0.000 0.000 4.027" Properties=species:S:1:pos:R:3 pbc="T T T"
Ir 0.000 0.000 0.000
S 0.000 2.014 2.014
S 2.014 0.000 2.014
S 2.014 2.014 0.000
N 2.014 2.014 2.014
```

Entry from Alexandria: an optimized crystal structure of IrS2N (PBE-GGA).

Symmetry: R-3m

Geometry as extended XYZ:
```
4
Lattice="1.837 1.061 5.374 -1.837 1.061 5.374 0.000 -2.122 5.374" Properties=species:S:1:pos:R:3 pbc="T T T"
Ir 0.000 0.000 0.000
S 0.000 0.000 6.499
S 0.000 0.000 9.622
N 0.000 0.000 8.061
```

Entry from Alexandria: an optimized crystal structure of IrS2N (PBE-GGA).

Symmetry: R-3m

Geometry as extended XYZ:
```
4
Lattice="1.476 0.852 7.240 -1.476 0.852 7.240 0.000 -1.705 7.240" Properties=species:S:1:pos:R:3 pbc="T T T"
Ir 0.000 0.000 0.000
S 0.000 0.000 2.239
S 0.000 0.000 19.482
N 0.000 0.000 10.860
```

What did we get for energy relative to the elements, uncorrected? Answer: 1.41; 0.31; 1.20 eV/atom, in the order shown.
What did we get for E_tot? Answer: -4.50; -6.06; -5.16 eV per atom, in the order shown.